Here is Pa4SbTe5 after structural relaxation from Alexandria. Energies are from GGA-PBE.

It has space group C2/m (No. 12), with a = 18.6778 Å, b = 4.2278 Å, c = 8.8567 Å, α = 90.00°, β = 101.79° and γ = 90.00°. The inequivalent atoms are Pa at (0.0003, 0.0000, 0.2478), Pa at (0.1672, 0.5000, 0.0750), Sb at (0.0000, 0.5000, 0.0000), Te at (0.0000, 0.5000, 0.5000), Te at (0.1670, 0.0000, 0.3271) and Te at (0.1671, 0.0000, 0.8126).

As for the raw formation energy: -696 meV/atom. The calculation puts the relative energy among the computed polymorphs at 0 meV/atom. The volume is 685 Å³ per cell. The calculation puts the total energy at -129.5 eV per cell.